Entry 1:
A crystal of YMgSc2N relaxed with PBEsol, computed with meta-GGA SCAN.

a = 5.1637 Å, b = 5.1637 Å, c = 5.4263 Å
α = 90.00°, β = 90.00°, γ = 90.00°
Fractional coordinates of all 5 atoms:
1 Y 0.0000 0.0000 0.0000
2 Mg 0.0000 0.0000 0.5000
3 Sc 0.0000 0.5000 0.0000
4 Sc 0.5000 0.0000 0.0000
5 N 0.5000 0.5000 0.5000

## Properties
The total energy comes out at -11.981 eV per atom.

=====

Entry 2:
A crystal of TlFeCo2Ni relaxed with PBEsol, computed with meta-GGA SCAN.

a = 4.1855 Å, b = 4.1855 Å, c = 4.8029 Å
α = 90.00°, β = 90.00°, γ = 90.00°
Fractional coordinates of all 5 atoms:
1 Tl 0.0000 0.0000 0.0000
2 Fe 0.0000 0.0000 0.5000
3 Co 0.0000 0.5000 0.5000
4 Co 0.5000 0.0000 0.5000
5 Ni 0.5000 0.5000 0.0000

## Properties
Its energy of formation from the pure elements is 1.32 eV per atom. The total energy comes out at -26.929 eV per atom.

=====

Entry 3:
A crystal of BaCu2Mo relaxed with PBEsol, computed with meta-GGA SCAN.

a = 3.1812 Å, b = 3.1812 Å, c = 7.4129 Å
α = 90.00°, β = 90.00°, γ = 90.00°
Fractional coordinates of all 4 atoms:
1 Ba 0.0000 0.0000 0.0000
2 Cu 0.5000 0.5000 0.3258
3 Cu 0.5000 0.5000 0.6742
4 Mo 0.0000 0.0000 0.5000

## Properties
Its energy of formation from the pure elements is 0.59 eV per atom. The total energy comes out at -25.618 eV per atom.